No. 1
11
Lattice="4.362 -4.892 0.000 4.362 4.892 0.000 -2.170 0.000 5.151" Properties=species:S:1:pos:R:3 comment="TmTl3Pd7 | Alexandria via LeMat-Bulk | PBE-GGA | optimized geometry" m_tot_mub_per_fu=0.000 dos_at_fermi_per_ev_fu=5.601 e_tot_ev_per_atom=-4.59 spacegroup=C2/m pbc="T T T"
Tm 0.000 0.000 0.000
Tl 3.277 2.218 2.575
Tl 4.362 0.000 0.000
Tl 3.277 -2.218 2.575
Pd -1.085 0.000 2.575
Pd 1.066 2.381 4.251
Pd 1.626 0.000 2.310
Pd 5.487 2.381 0.900
Pd 1.066 -2.381 4.251
Pd 4.927 0.000 2.841
Pd 5.487 -2.381 0.900

---

No. 2
20
Lattice="9.519 0.000 0.000 0.000 9.519 0.000 0.000 0.000 3.365" Properties=species:S:1:pos:R:3 comment="Ce2B2Rh5Au | Alexandria via LeMat-Bulk | PBE-GGA | optimized geometry" m_tot_mub_per_fu=0.000 dos_at_fermi_per_ev_fu=6.273 e_tot_ev_per_atom=-7.17 spacegroup=P4/mbm pbc="T T T"
Ce 1.696 3.064 0.000
Ce 3.064 7.823 0.000
Ce 6.455 1.696 0.000
Ce 7.823 6.455 0.000
B 1.145 5.905 0.000
B 3.614 1.145 0.000
B 5.905 8.374 0.000
B 8.374 3.614 0.000
Rh 0.000 4.760 1.683
Rh 0.685 7.372 1.683
Rh 2.147 0.685 1.683
Rh 2.612 5.445 1.683
Rh 4.074 2.612 1.683
Rh 4.760 0.000 1.683
Rh 5.445 6.907 1.683
Rh 6.907 4.074 1.683
Rh 7.372 8.834 1.683
Rh 8.834 2.147 1.683
Au 0.000 0.000 0.000
Au 4.760 4.760 0.000

---

No. 3
12
Lattice="5.755 0.000 0.000 0.000 5.755 0.000 0.000 0.000 5.755" Properties=species:S:1:pos:R:3 comment="ZrH | Alexandria via LeMat-Bulk | PBE-GGA | optimized geometry" m_tot_mub_per_fu=0.336 dos_at_fermi_per_ev_fu=2.269 e_tot_ev_per_atom=-5.84 spacegroup=Pm-3n pbc="T T T"
Zr 0.000 1.439 2.878
Zr 0.000 4.317 2.878
Zr 1.439 2.878 0.000
Zr 2.878 0.000 1.439
Zr 2.878 0.000 4.317
Zr 4.317 2.878 0.000
H 0.000 2.878 1.439
H 0.000 2.878 4.317
H 1.439 0.000 2.878
H 2.878 1.439 0.000
H 2.878 4.317 0.000
H 4.317 0.000 2.878

---

No. 4
12
Lattice="7.881 -2.920 0.000 7.881 2.920 0.000 -4.164 0.000 8.283" Properties=species:S:1:pos:R:3 comment="Tb4Pm5Sc3 | Alexandria via LeMat-Bulk | PBE-GGA | optimized geometry" m_tot_mub_per_fu=0.259 dos_at_fermi_per_ev_fu=20.147 e_tot_ev_per_atom=-4.86 spacegroup=C2/m pbc="T T T"
Tb -0.596 0.000 3.564
Tb 2.330 0.000 1.865
Tb 9.268 0.000 6.418
Tb 12.194 0.000 4.719
Pm -0.421 0.000 7.199
Pm 2.642 0.000 5.058
Pm 7.881 0.000 0.000
Pm 8.956 0.000 3.225
Pm 12.019 0.000 1.084
Sc 0.000 0.000 0.000
Sc 5.447 0.000 2.614
Sc 6.151 0.000 5.668

---

No. 5
10
Lattice="8.837 -2.389 0.000 8.837 2.389 0.000 -1.228 0.000 6.813" Properties=species:S:1:pos:R:3 comment="Er4Pb | Alexandria via LeMat-Bulk | PBE-GGA | optimized geometry" m_tot_mub_per_fu=0.000 relative_energy_ev_per_atom=0.000 dos_at_fermi_per_ev_fu=5.495 spacegroup=C2/m pbc="T T T"
Er 0.000 0.000 0.000
Er -0.614 0.000 3.406
Er 2.717 0.000 4.060
Er 3.474 0.000 0.711
Er 6.131 0.000 4.800
Er 10.314 0.000 2.013
Er 12.971 0.000 6.102
Er 13.728 0.000 2.753
Pb 6.899 0.000 1.390
Pb 9.546 0.000 5.423

---

No. 6
4
Lattice="3.790 0.000 0.000 -0.845 4.307 0.000 -0.797 -1.562 4.133" Properties=species:S:1:pos:R:3 comment="AgC3 | Alexandria via LeMat-Bulk | PBE-GGA | optimized geometry" m_tot_mub_per_fu=0.000 relative_energy_ev_per_atom=0.000 dos_at_fermi_per_ev_fu=0.578 spacegroup=P-1 pbc="T T T"
Ag 0.000 0.000 0.000
C -0.203 1.208 1.819
C 1.074 1.372 2.067
C 2.350 1.536 2.315

---

No. 7
20
Lattice="7.036 0.000 0.000 0.000 6.520 0.000 -6.972 0.000 8.826" Properties=species:S:1:pos:R:3 comment="CoSn6Ir3 | Alexandria via LeMat-Bulk | PBE-GGA | optimized geometry" m_tot_mub_per_fu=0.000 dos_at_fermi_per_ev_fu=2.107 e_tot_ev_per_atom=-5.91 spacegroup=P2_1/c pbc="T T T"
Co 0.000 0.000 0.000
Co -3.486 3.260 4.413
Sn -1.218 0.150 2.134
Sn -4.704 3.111 6.546
Sn -2.407 1.034 5.012
Sn 1.079 2.226 0.599
Sn -1.141 4.216 5.082
Sn 2.345 5.565 0.669
Sn -2.280 0.955 8.157
Sn 1.206 2.305 3.744
Sn -1.014 4.295 8.226
Sn 2.472 5.486 3.814
Sn 4.768 3.410 2.279
Sn 1.282 6.371 6.692
Ir 0.200 4.341 2.161
Ir -3.286 5.439 6.573
Ir 0.032 0.000 4.413
Ir 3.518 3.260 0.000
Ir 3.350 1.081 2.252
Ir -0.136 2.179 6.665

---

No. 8
4
Lattice="0.000 3.857 3.857 3.857 0.000 3.857 3.857 3.857 0.000" Properties=species:S:1:pos:R:3 comment="LaCeAlTl | Alexandria via LeMat-Bulk | PBE-GGA | optimized geometry" m_tot_mub_per_fu=0.933 dos_at_fermi_per_ev_fu=8.185 e_tot_ev_per_atom=-4.51 spacegroup=F-43m pbc="T T T"
La 0.000 0.000 0.000
Ce 3.857 3.857 3.857
Al 5.786 5.786 5.786
Tl 1.929 1.929 1.929

---

No. 9
4
Lattice="0.000 4.130 4.130 4.130 0.000 4.130 4.130 4.130 0.000" Properties=species:S:1:pos:R:3 comment="TlCdHgI | Alexandria via LeMat-Bulk | PBE-GGA | optimized geometry" m_tot_mub_per_fu=0.000 dos_at_fermi_per_ev_fu=0.256 raw_formation_energy_ev_per_atom=-0.14 spacegroup=F-43m pbc="T T T"
Tl 0.000 0.000 0.000
Cd 2.065 2.065 2.065
Hg 4.130 4.130 4.130
I 6.196 6.196 6.196

---

No. 10
12
Lattice="6.648 0.000 0.000 0.000 3.515 0.000 0.000 0.000 7.912" Properties=species:S:1:pos:R:3 comment="ZrVP | Alexandria via LeMat-Bulk | PBE-GGA | optimized geometry" m_tot_mub_per_fu=0.000 relative_energy_ev_per_atom=0.000 dos_at_fermi_per_ev_fu=1.344 spacegroup=Pnma pbc="T T T"
Zr 0.257 0.879 1.342
Zr 3.068 2.636 5.298
Zr 3.581 0.879 2.615
Zr 6.392 2.636 6.571
V 0.855 0.879 4.412
V 2.469 2.636 0.456
V 4.179 0.879 7.456
V 5.793 2.636 3.500
P 1.582 2.636 2.876
P 1.742 0.879 6.832
P 4.906 2.636 1.080
P 5.066 0.879 5.037

---

No. 11
9
Lattice="4.291 0.000 0.000 0.000 4.291 0.000 0.000 0.000 10.392" Properties=species:S:1:pos:R:3 comment="CeZnGa5Pd2 | Alexandria via LeMat-Bulk | PBE-GGA | optimized geometry" m_tot_mub_per_fu=1.141 dos_at_fermi_per_ev_fu=10.327 e_tot_ev_per_atom=-3.87 spacegroup=P4/mmm pbc="T T T"
Ce 0.000 0.000 0.000
Zn 0.000 0.000 5.196
Ga 0.000 2.146 3.617
Ga 0.000 2.146 6.775
Ga 2.146 0.000 3.617
Ga 2.146 0.000 6.775
Ga 2.146 2.146 0.000
Pd 2.146 2.146 2.355
Pd 2.146 2.146 8.037

---

No. 12
5
Lattice="5.836 0.000 0.000 0.000 5.836 0.000 0.000 0.000 5.836" Properties=species:S:1:pos:R:3 comment="ScTlI3 | Alexandria via LeMat-Bulk | PBE-GGA | optimized geometry" m_tot_mub_per_fu=0.998 relative_energy_ev_per_atom=0.000 dos_at_fermi_per_ev_fu=4.079 raw_formation_energy_ev_per_atom=-0.78 spacegroup=Pm-3m pbc="T T T"
Sc 0.000 0.000 0.000
Tl 2.918 2.918 2.918
I 0.000 0.000 2.918
I 0.000 2.918 0.000
I 2.918 0.000 0.000